VASP calculation (GGA-PBE) on a relaxed SrZn2TeO6 crystal.

Cell: 6.6861 6.6708 6.6708 Å, 94.77 85.68 85.68°
Atoms (fractional coordinates):
Sr  0.2500  0.9032  0.0968
Sr  0.7500  0.0968  0.9032
Zn  0.3874  0.7381  0.5855
Zn  0.1126  0.4145  0.2619
Zn  0.6126  0.2619  0.4145
Zn  0.8874  0.5855  0.7381
Te  0.2500  0.2769  0.7231
Te  0.7500  0.7231  0.2769
O  0.2608  0.9850  0.7332
O  0.2392  0.2668  0.0150
O  0.7392  0.0150  0.2668
O  0.7608  0.7332  0.9850
O  0.4613  0.7061  0.2930
O  0.0387  0.7070  0.2939
O  0.5387  0.2939  0.7070
O  0.9613  0.2930  0.7061
O  0.2070  0.5783  0.7450
O  0.2930  0.2550  0.4217
O  0.7930  0.4217  0.2550
O  0.7070  0.7450  0.5783

* ΔE_f (raw): -1.5712 eV/atom
* space group: C2/c (15)
* ρ: 4.98 g/cm³